Entry 1:
Material: Y2SbMo
Method: DFT, PBE
State: optimized geometry

The calculation puts the raw formation energy at 0.033 eV per atom. The value obtained for the total magnetization is 0.213 μB per atom.

The structure belongs to space group F-43m (No. 216); the cell edges are 7.1084, 7.1084 and 7.1084 Å and the angles 90.00°, 90.00° and 90.00°. The asymmetric unit holds Y at (0.0000, 0.0000, 0.0000), Y at (0.2500, 0.2500, 0.2500), Sb at (0.0000, 0.0000, 0.5000) and Mo at (0.2500, 0.2500, 0.7500).


Entry 2:
Material: MgOs2Se
Method: DFT, PBE
State: optimized geometry

The calculation puts the raw formation energy at 0.212 eV per atom. The value obtained for the total magnetization is 0.000 μB per atom.

The structure belongs to space group P4mm (No. 99); the cell edges are 2.9218, 2.9218 and 7.7533 Å and the angles 90.00°, 90.00° and 90.00°. The asymmetric unit holds Mg at (0.0000, 0.0000, 0.0000), Os at (0.0000, 0.0000, 0.4562), Os at (0.5000, 0.5000, 0.2461) and Se at (0.5000, 0.5000, 0.6948).


Entry 3:
Material: LiNi2Rh
Method: DFT, PBE
State: optimized geometry

The value obtained for the total magnetization is 0.144 μB per atom. For the formation energy, the calculation gives 0.00 eV per formula unit.

The structure belongs to space group P2/m (No. 10); the cell edges are 2.5668, 3.7628 and 4.9805 Å and the angles 90.00°, 90.35° and 90.00°. The asymmetric unit holds Li at (0.0000, 0.0000, 0.0000), Ni at (0.4980, 0.5000, 0.2514) and Rh at (0.0000, 0.0000, 0.5000).


Entry 4:
Material: Sm7Y12Th
Method: DFT, PBE
State: optimized geometry

The value obtained for the total magnetization is 0.000 μB per atom. For the formation energy, the calculation gives 13.65 eV per formula unit.

The structure belongs to space group Im-3m (No. 229); the cell edges are 11.3115, 11.3115 and 11.3115 Å and the angles 90.00°, 90.00° and 90.00°. The asymmetric unit holds Sm at (0.0000, 0.0000, 0.5000), Sm at (0.2500, 0.2500, 0.2500), Y at (0.0000, 0.2461, 0.2461) and Th at (0.0000, 0.0000, 0.0000).